DFT (PBE) results for CePmNb2O8 after structural relaxation.

Cell: 5.3739 5.3739 6.8869 Å, 112.96 112.96 90.00°
Closest atoms and distances in Å follow each position.
Element x y z (fractional)
Ce1 0.7500 0.2500 0.5000  8 O 2.45-2.49
Pm1 0.0000 0.0000 0.0000  8 O 2.44-2.47
Nb1 0.5000 0.5000 0.0000  4 O 1.90
Nb2 0.2500 0.7500 0.5000  4 O 1.90
O1 0.7569 0.8346 0.1737  1 Nb 1.90
O2 0.4167 0.3390 0.1737  1 Nb 1.90
O3 0.5874 0.6706 0.6753  1 Nb 1.90
O4 0.0879 0.0046 0.6753  1 Nb 1.90
O5 0.9954 0.4126 0.3247  1 Nb 1.90
O6 0.3294 0.9121 0.3247  1 Nb 1.90
O7 0.1654 0.5833 0.8263  1 Nb 1.90
O8 0.6610 0.2431 0.8263  1 Nb 1.90

Computed properties:
**VASP energy**: -8.908 eV/atom
**Uncorrected formation energy**: -3512.4 kJ/mol of formula units
**Symmetry**: No. 82
**Magnetic moment**: 1.03 μB/f.u.